Entry 1:
Entry from the Alexandria database: a relaxed Ho2PuRu3 crystal (GGA-PBE).

E above lowest polymorph	0	meV/atom
E	-8.675	eV/atom
energy of formation	-0.7	eV per formula unit

Cell lengths 4.744, 14.180, 6.774 Å; angles 90.00, 90.00, 90.00 degrees
Space group Cmmm (No. 65)
One atom of each set of equivalent atoms:
Ho 0.000 0.000 0.000 [2 per cell]
Ho 0.000 0.000 0.500 [2 per cell]
Ho 0.000 0.335 0.000 [4 per cell]
Pu 0.000 0.331 0.500 [4 per cell]
Ru 0.000 0.174 0.274 [8 per cell]
Ru 0.000 0.500 0.270 [4 per cell]

---

Entry 2:
Entry from the Alexandria database: a relaxed Ho3Pu2Ru4 crystal (GGA-PBE).

E	-9.167	eV/atom
energy of formation	-3.0	eV per formula unit

Cell lengths 10.671, 4.199, 8.883 Å; angles 90.00, 100.07, 90.00 degrees
Space group C2/m (No. 12)
One atom of each set of equivalent atoms:
Ho 0.000 0.000 0.000 [2 per cell]
Ho 0.126 0.500 0.390 [4 per cell]
Pu 0.171 0.500 0.785 [4 per cell]
Ru 0.089 0.000 0.628 [4 per cell]
Ru 0.212 0.500 0.095 [4 per cell]

---

Entry 3:
Entry from the Alexandria database: a relaxed HoPuSnRu crystal (GGA-PBE).

E	-8.247	eV/atom
energy of formation	-0.8	eV per formula unit

Cell lengths 7.162, 7.162, 7.162 Å; angles 90.00, 90.00, 90.00 degrees
Space group F-43m (No. 216)
One atom of each set of equivalent atoms:
Ho 0.000 0.000 0.000 [4 per cell]
Pu 0.000 0.000 0.500 [4 per cell]
Sn 0.250 0.250 0.750 [4 per cell]
Ru 0.250 0.250 0.250 [4 per cell]

---

Entry 4:
Entry from the Alexandria database: a relaxed HoPuTlRu crystal (GGA-PBE).

E above lowest polymorph	222	meV/atom
E	-7.669	eV/atom
energy of formation	-0.1	eV per formula unit

Cell lengths 7.187, 7.187, 7.187 Å; angles 90.00, 90.00, 90.00 degrees
Space group F-43m (No. 216)
One atom of each set of equivalent atoms:
Ho 0.000 0.000 0.000 [4 per cell]
Pu 0.000 0.000 0.500 [4 per cell]
Tl 0.250 0.250 0.250 [4 per cell]
Ru 0.250 0.250 0.750 [4 per cell]

---

Entry 5:
Entry from the Alexandria database: a relaxed HoPuTlRu crystal (GGA-PBE).

E above lowest polymorph	0	meV/atom
E	-7.891	eV/atom
energy of formation	-1.0	eV per formula unit

Cell lengths 3.339, 3.339, 8.391 Å; angles 90.00, 90.00, 90.00 degrees
Space group P4mm (No. 99)
One atom of each set of equivalent atoms:
Ho 0.000 0.000 0.000 [1 per cell]
Pu 0.000 0.000 0.592 [1 per cell]
Tl 0.500 0.500 0.294 [1 per cell]
Ru 0.500 0.500 0.795 [1 per cell]

---

Entry 6:
Entry from the Alexandria database: a relaxed HoPu2S3 crystal (GGA-PBE).

E	-9.424	eV/atom

Cell lengths 3.9107, 3.9107, 19.5905 Å; angles 90.00, 90.00, 120.00 degrees
Space group P6_3/mmc (No. 194)
One atom of each set of equivalent atoms:
Ho 0.0000 0.0000 0.2500 [2 per cell]
Pu 0.3333 0.6667 0.0846 [4 per cell]
S 0.0000 0.0000 0.0000 [2 per cell]
S 0.3333 0.6667 0.6665 [4 per cell]

---

Entry 7:
Entry from the Alexandria database: a relaxed Ho2PuS3 crystal (GGA-PBE).

E	-7.915	eV/atom

Cell lengths 3.899, 5.515, 11.758 Å; angles 90.00, 90.00, 90.00 degrees
Space group Immm (No. 71)
One atom of each set of equivalent atoms:
Ho 0.000 0.000 0.167 [4 per cell]
Pu 0.000 0.000 0.500 [2 per cell]
S 0.000 0.500 0.169 [4 per cell]
S 0.000 0.500 0.500 [2 per cell]

---

Entry 8:
Entry from the Alexandria database: a relaxed Ho3Pu2S4 crystal (GGA-PBE).

E	-8.163	eV/atom

Cell lengths 12.884, 3.828, 9.545 Å; angles 90.00, 119.10, 90.00 degrees
Space group C2/m (No. 12)
One atom of each set of equivalent atoms:
Ho 0.000 0.000 0.000 [2 per cell]
Ho 0.203 0.000 0.798 [4 per cell]
Pu 0.095 0.500 0.407 [4 per cell]
S 0.105 0.500 0.906 [4 per cell]
S 0.196 0.000 0.300 [4 per cell]

---

Entry 9:
Entry from the Alexandria database: a relaxed HoPuS3 crystal (GGA-PBE).

E above lowest polymorph	0	meV/atom
E	-8.129	eV/atom

Cell lengths 7.297, 3.926, 15.056 Å; angles 90.00, 90.00, 90.00 degrees
Space group Pnma (No. 62)
One atom of each set of equivalent atoms:
Ho 0.236 0.250 0.042 [4 per cell]
Pu 0.139 0.750 0.293 [4 per cell]
S 0.011 0.750 0.106 [4 per cell]
S 0.124 0.250 0.433 [4 per cell]
S 0.147 0.750 0.720 [4 per cell]

---

Entry 10:
Entry from the Alexandria database: a relaxed HoPu5S6 crystal (GGA-PBE).

E	-10.222	eV/atom

Cell lengths 6.841, 11.847, 6.841 Å; angles 90.00, 109.47, 90.00 degrees
Space group C2/m (No. 12)
One atom of each set of equivalent atoms:
Ho 0.000 0.000 0.000 [2 per cell]
Pu 0.000 0.167 0.500 [4 per cell]
Pu 0.000 0.334 0.000 [4 per cell]
Pu 0.000 0.500 0.500 [2 per cell]
S 0.248 0.000 0.750 [4 per cell]
S 0.248 0.166 0.248 [8 per cell]

---

Entry 11:
Entry from the Alexandria database: a relaxed HoPu2S4 crystal (GGA-PBE).

E above lowest polymorph	0	meV/atom
E	-8.939	eV/atom

Cell lengths 7.055, 11.333, 4.068 Å; angles 90.00, 90.00, 90.00 degrees
Space group Pbam (No. 55)
One atom of each set of equivalent atoms:
Ho 0.000 0.000 0.000 [2 per cell]
Pu 0.098 0.316 0.500 [4 per cell]
S 0.131 0.780 0.000 [4 per cell]
S 0.250 0.049 0.500 [4 per cell]

---

Entry 12:
Entry from the Alexandria database: a relaxed HoPuS4 crystal (GGA-PBE).

E	-7.279	eV/atom

Cell lengths 8.754, 8.873, 4.087 Å; angles 90.00, 90.00, 90.00 degrees
Space group Cmmm (No. 65)
One atom of each set of equivalent atoms:
Ho 0.000 0.000 0.000 [2 per cell]
Pu 0.000 0.500 0.500 [2 per cell]
S 0.000 0.311 0.000 [4 per cell]
S 0.202 0.000 0.500 [4 per cell]

---

Entry 13:
Entry from the Alexandria database: a relaxed Ho2PuS crystal (GGA-PBE).

E	-7.525	eV/atom

Cell lengths 3.5995, 3.5995, 29.9316 Å; angles 90.00, 90.00, 120.00 degrees
Space group R-3m (No. 166, hexagonal axes)
One atom of each set of equivalent atoms:
Ho 0.0000 0.0000 0.1108 [6 per cell]
Pu 0.0000 0.0000 0.0000 [3 per cell]
S 0.0000 0.0000 0.5000 [3 per cell]

---

Entry 14:
Entry from the Alexandria database: a relaxed HoPuS crystal (GGA-PBE).

E	-8.582	eV/atom

Cell lengths 10.293, 3.485, 8.063 Å; angles 90.00, 93.57, 90.00 degrees
Space group C2/m (No. 12)
One atom of each set of equivalent atoms:
Ho 0.125 0.000 0.143 [4 per cell]
Pu 0.136 0.000 0.591 [4 per cell]
S 0.109 0.500 0.869 [4 per cell]

---

Entry 15:
Entry from the Alexandria database: a relaxed HoPu2S4 crystal (GGA-PBE).

E above lowest polymorph	39	meV/atom
E	-8.900	eV/atom

Cell lengths 3.835, 13.048, 13.141 Å; angles 90.00, 90.00, 90.00 degrees
Space group Cmcm (No. 63)
One atom of each set of equivalent atoms:
Ho 0.000 0.122 0.250 [4 per cell]
Pu 0.000 0.368 0.069 [8 per cell]
S 0.000 0.000 0.000 [4 per cell]
S 0.000 0.277 0.625 [8 per cell]
S 0.000 0.474 0.250 [4 per cell]

---

Entry 16:
Entry from the Alexandria database: a relaxed Ho4PuS4 crystal (GGA-PBE).

E	-7.136	eV/atom

Cell lengths 8.661, 8.661, 5.472 Å; angles 90.00, 90.00, 90.00 degrees
Space group I4/m (No. 87)
One atom of each set of equivalent atoms:
Ho 0.103 0.700 0.000 [8 per cell]
Pu 0.000 0.000 0.500 [2 per cell]
S 0.098 0.696 0.500 [8 per cell]

---

Entry 17:
Entry from the Alexandria database: a relaxed HoPu3S6 crystal (GGA-PBE).

E	-8.870	eV/atom

Cell lengths 10.937, 4.076, 10.959 Å; angles 90.00, 99.69, 90.00 degrees
Space group P2_1/m (No. 11)
One atom of each set of equivalent atoms:
Ho 0.111 0.250 0.168 [2 per cell]
Pu 0.178 0.250 0.541 [2 per cell]
Pu 0.225 0.750 0.859 [2 per cell]
Pu 0.447 0.250 0.175 [2 per cell]
S 0.031 0.750 0.640 [2 per cell]
S 0.063 0.250 0.900 [2 per cell]
S 0.269 0.750 0.115 [2 per cell]
S 0.301 0.250 0.357 [2 per cell]
S 0.336 0.750 0.646 [2 per cell]
S 0.400 0.250 0.902 [2 per cell]

---

Entry 18:
Entry from the Alexandria database: a relaxed Ho4PuS5 crystal (GGA-PBE).

E	-7.281	eV/atom

Cell lengths 3.909, 5.503, 19.441 Å; angles 90.00, 90.00, 90.00 degrees
Space group Immm (No. 71)
One atom of each set of equivalent atoms:
Ho 0.000 0.000 0.099 [4 per cell]
Ho 0.000 0.000 0.301 [4 per cell]
Pu 0.000 0.000 0.500 [2 per cell]
S 0.000 0.500 0.101 [4 per cell]
S 0.000 0.500 0.300 [4 per cell]
S 0.000 0.500 0.500 [2 per cell]

---

Entry 19:
Entry from the Alexandria database: a relaxed Ho4PuS6 crystal (GGA-PBE).

E	-7.181	eV/atom

Cell lengths 3.866, 12.845, 19.675 Å; angles 90.00, 90.00, 90.00 degrees
Space group Cmcm (No. 63)
One atom of each set of equivalent atoms:
Ho 0.000 0.092 0.129 [8 per cell]
Ho 0.000 0.362 0.042 [8 per cell]
Pu 0.000 0.156 0.750 [4 per cell]
S 0.000 0.000 0.000 [4 per cell]
S 0.000 0.187 0.250 [4 per cell]
S 0.000 0.270 0.588 [8 per cell]
S 0.000 0.454 0.166 [8 per cell]

---

Entry 20:
Entry from the Alexandria database: a relaxed Ho6PuS8 crystal (GGA-PBE).

E	-6.974	eV/atom

Cell lengths 10.988, 10.988, 10.988 Å; angles 90.00, 90.00, 90.00 degrees
Space group Fm-3m (No. 225)
One atom of each set of equivalent atoms:
Ho 0.000 0.250 0.250 [24 per cell]
Pu 0.000 0.000 0.000 [4 per cell]
S 0.000 0.000 0.254 [24 per cell]
S 0.250 0.250 0.250 [8 per cell]

---

Entry 21:
Entry from the Alexandria database: a relaxed HoPu3S4 crystal (GGA-PBE).

E above lowest polymorph	0	meV/atom
E	-9.837	eV/atom

Cell lengths 5.573, 5.573, 5.573 Å; angles 90.00, 90.00, 90.00 degrees
Space group Pm-3m (No. 221)
One atom of each set of equivalent atoms:
Ho 0.000 0.000 0.000 [1 per cell]
Pu 0.000 0.500 0.500 [3 per cell]
S 0.000 0.000 0.500 [3 per cell]
S 0.500 0.500 0.500 [1 per cell]

---

Entry 22:
Entry from the Alexandria database: a relaxed HoPuS3 crystal (GGA-PBE).

E above lowest polymorph	49	meV/atom
E	-8.080	eV/atom

Cell lengths 7.754, 3.889, 7.763 Å; angles 90.00, 93.57, 90.00 degrees
Space group P2_1/m (No. 11)
One atom of each set of equivalent atoms:
Ho 0.143 0.250 0.176 [2 per cell]
Pu 0.386 0.750 0.728 [2 per cell]
S 0.104 0.250 0.820 [2 per cell]
S 0.318 0.250 0.480 [2 per cell]
S 0.378 0.750 0.116 [2 per cell]